# LaTa4O12

LaTa4O12 after structural relaxation (PBE, Alexandria).

## Properties
Symmetry: No. 229
Formation energy without anion corrections in kJ/mol of formula units: -4679

POSCAR file:
```
LaTa4O12
1.0
-3.972 3.972 3.972
3.972 -3.972 3.972
3.972 3.972 -3.972
La Ta O
1 4 12
direct
0.000 0.000 0.000
0.000 0.000 0.500
0.000 0.500 0.000
0.500 0.000 0.000
0.500 0.500 0.500
0.000 0.240 0.760
0.000 0.760 0.240
0.240 0.000 0.760
0.240 0.240 0.481
0.240 0.481 0.240
0.240 0.760 0.000
0.481 0.240 0.240
0.519 0.760 0.760
0.760 0.000 0.240
0.760 0.240 0.000
0.760 0.519 0.760
0.760 0.760 0.519
```